ZnReNi2 | GGA-PBEsol | relaxed

## Properties
DFT formation energy: -33 meV/atom
Energy: -27.4 eV/cell

Cell lengths 2.6309, 2.6309, 8.3189 Å; angles 80.90, 80.90, 60.00 degrees
Last column: nearest neighbours and their distance in Å.
Fractional coordinates of all 4 atoms:
Ni 0.2512 0.2512 0.2465  3 Zn 2.52, 3 Re 2.57, 6 Ni 2.63
Ni 0.7488 0.7488 0.7535  3 Zn 2.52, 3 Re 2.57, 6 Ni 2.63
Re 0.5000 0.5000 0.5000  6 Ni 2.57, 6 Re 2.63
Zn 0.0000 0.0000 0.0000  6 Ni 2.52, 6 Zn 2.63